Record 1
Below is an optimized crystal structure of TaCd2Ru, with properties calculated at the PBE level.

uncorrected energy	-5.213	eV/atom
total magnetization	0.0	μB per formula unit
excess energy over the best structure of this formula in the dataset	514	meV per atom
formation energy	527	meV per atom

a b c (Å): 4.638 4.638 4.638
angles (deg): 60.00 60.00 60.00
Positions (direct):
Ru (0.000, 0.000, 0.000)
Cd (0.250, 0.250, 0.250)
Cd (0.750, 0.750, 0.750)
Ta (0.500, 0.500, 0.500)

***

Record 2
Below is an optimized crystal structure of CaAl3Si3, with properties calculated at the PBE level.

uncorrected formation energy	122	meV per atom
uncorrected energy	-4.092	eV/atom
total magnetization	0.0	μB per formula unit

a b c (Å): 6.956 6.956 6.956
angles (deg): 90.00 90.00 90.00
Positions (direct):
Ca (0.500, 0.500, 0.500)
Ca (0.000, 0.000, 0.000)
Si (0.250, 0.000, 0.500)
Si (0.000, 0.500, 0.250)
Si (0.500, 0.750, 0.000)
Si (0.750, 0.000, 0.500)
Si (0.000, 0.500, 0.750)
Si (0.500, 0.250, 0.000)
Al (0.000, 0.250, 0.500)
Al (0.000, 0.750, 0.500)
Al (0.500, 0.000, 0.750)
Al (0.750, 0.500, 0.000)
Al (0.500, 0.000, 0.250)
Al (0.250, 0.500, 0.000)

***

Record 3
Below is an optimized crystal structure of ScTa2Hg, with properties calculated at the PBE level.

uncorrected energy	-7.389	eV/atom
total magnetization	0.0	μB per formula unit
formation energy	196	meV per atom

a b c (Å): 5.108 2.937 5.302
angles (deg): 82.26 90.00 90.00
Positions (direct):
Hg (0.500, 0.250, 0.250)
Sc (0.500, 0.750, 0.750)
Ta (0.000, 0.036, 0.991)
Ta (0.000, 0.464, 0.509)

***

Record 4
Below is an optimized crystal structure of HoPu3Se4, with properties calculated at the PBE level.

uncorrected formation energy	-1595	meV per atom
uncorrected energy	-9.284	eV/atom
total magnetization	17.5	μB per formula unit
excess energy over the best structure of this formula in the dataset	0	meV per atom

a b c (Å): 4.125 7.146 7.146
angles (deg): 109.41 90.00 90.00
Each line ends with the local moment (μB).
Positions (direct):
Ho (0.500, 0.000, 0.000)  0.10
Se (0.000, 0.246, 0.246)  -0.06
Se (0.500, 0.752, 0.248)  -0.08
Se (0.000, 0.754, 0.754)  -0.06
Se (0.500, 0.248, 0.752)  -0.08
Pu (0.000, 0.000, 0.500)  5.47
Pu (0.500, 0.500, 0.500)  5.53
Pu (0.000, 0.500, 0.000)  5.47

***

Record 5
Below is an optimized crystal structure of Si2SeBr, with properties calculated at the PBE level.

uncorrected formation energy	740	meV per atom
uncorrected energy	-3.260	eV/atom
total magnetization	0.0	μB per formula unit
excess energy over the best structure of this formula in the dataset	813	meV per atom

a b c (Å): 4.808 4.808 4.808
angles (deg): 60.00 60.00 60.00
Positions (direct):
Br (0.500, 0.500, 0.500)
Se (0.750, 0.750, 0.750)
Si (0.000, 0.000, 0.000)
Si (0.250, 0.250, 0.250)

***

Record 6
Below is an optimized crystal structure of Pm2Pr7Dy2, with properties calculated at the PBE level.

uncorrected energy	-4.423	eV/atom
total magnetization	0.0	μB per formula unit
excess energy over the best structure of this formula in the dataset	221	meV per atom
formation energy	319	meV per atom

a b c (Å): 9.681 7.025 7.025
angles (deg): 122.29 90.00 90.00
Positions (direct):
Pm (0.500, 0.750, 0.750)
Pm (0.500, 0.250, 0.250)
Pr (0.684, 0.000, 0.500)
Pr (0.316, 0.500, 0.000)
Pr (0.316, 0.000, 0.500)
Pr (0.684, 0.500, 0.000)
Pr (0.000, 0.000, 0.000)
Pr (0.178, 0.500, 0.500)
Pr (0.822, 0.500, 0.500)
Dy (0.000, 0.733, 0.267)
Dy (0.000, 0.267, 0.733)

***

Record 7
Below is an optimized crystal structure of Mn2SiW, with properties calculated at the PBE level.

uncorrected formation energy	-223	meV per atom
uncorrected energy	-9.402	eV/atom
total magnetization	0.0	μB per formula unit

a b c (Å): 4.055 4.055 2.979
angles (deg): 90.00 90.00 90.00
Positions (direct):
Si (0.500, 0.000, 0.500)
Mn (0.000, 0.000, 0.000)
Mn (0.500, 0.500, 0.000)
W (0.000, 0.500, 0.500)

***

Record 8
Below is an optimized crystal structure of Be2CdReAs, with properties calculated at the PBE level.

uncorrected energy	-3.258	eV/atom
total magnetization	3.4	μB per formula unit
formation energy	1835	meV per atom

a b c (Å): 4.277 4.277 5.279
angles (deg): 90.00 90.00 90.00
Each line ends with the local moment (μB).
Positions (direct):
Re (0.500, 0.500, 0.500)  2.94
As (0.000, 0.000, 0.500)  -0.04
Be (0.000, 0.500, 0.000)  -0.01
Be (0.500, 0.000, 0.000)  -0.01
Cd (0.000, 0.000, 0.000)  0.03

***

Record 9
Below is an optimized crystal structure of Ac4GaPCl2, with properties calculated at the PBE level.

uncorrected formation energy	-1277	meV per atom
uncorrected energy	-4.847	eV/atom
total magnetization	0.0	μB per formula unit

a b c (Å): 4.570 7.605 7.806
angles (deg): 69.25 90.00 90.00
Positions (direct):
Ac (0.000, 0.734, 0.751)
Ac (0.000, 0.266, 0.249)
Ac (0.500, 0.730, 0.260)
Ac (0.500, 0.270, 0.740)
Ga (0.500, 0.500, 0.000)
P (0.000, 0.500, 0.500)
Cl (0.000, 0.000, 0.000)
Cl (0.500, 0.000, 0.500)

***

Record 10
Below is an optimized crystal structure of SrRe3Rh, with properties calculated at the PBE level.

uncorrected energy	-7.451	eV/atom
total magnetization	0.8	μB per formula unit
excess energy over the best structure of this formula in the dataset	0	meV per atom
formation energy	1824	meV per atom

a b c (Å): 4.804 4.804 4.804
angles (deg): 90.00 90.00 90.00
Each line ends with the local moment (μB).
Positions (direct):
Re (0.000, 0.500, 0.000)  0.28
Re (0.000, 0.000, 0.500)  0.25
Re (0.500, 0.000, 0.000)  0.21
Rh (0.000, 0.000, 0.000)  -0.01
Sr (0.500, 0.500, 0.500)  0.00

***

Record 11
Below is an optimized crystal structure of TlOsBr2, with properties calculated at the PBE level.

uncorrected formation energy	584	meV per atom
uncorrected energy	-3.651	eV/atom
total magnetization	0.6	μB per formula unit
excess energy over the best structure of this formula in the dataset	306	meV per atom

a b c (Å): 3.559 3.559 9.427
angles (deg): 90.00 90.00 118.66
Each line ends with the local moment (μB).
Positions (direct):
Tl (0.500, 0.500, 0.750)  0.00
Os (0.500, 0.500, 0.250)  0.52
Br (0.000, 0.000, 0.068)  0.02
Br (0.000, 0.000, 0.432)  0.02

***

Record 12
Below is an optimized crystal structure of YAs, with properties calculated at the PBE level.

uncorrected energy	-6.833	eV/atom
total magnetization	0.0	μB per formula unit
formation energy	-1276	meV per atom

a b c (Å): 9.765 9.765 5.749
angles (deg): 90.00 90.00 90.00
Positions (direct):
Y (0.857, 0.357, 0.000)
Y (0.857, 0.643, 0.500)
Y (0.143, 0.357, 0.500)
Y (0.143, 0.643, 0.000)
Y (0.643, 0.143, 0.500)
Y (0.643, 0.857, 0.000)
Y (0.357, 0.143, 0.000)
Y (0.357, 0.857, 0.500)
As (0.650, 0.150, 0.000)
As (0.650, 0.850, 0.500)
As (0.350, 0.150, 0.500)
As (0.350, 0.850, 0.000)
As (0.850, 0.350, 0.500)
As (0.850, 0.650, 0.000)
As (0.150, 0.350, 0.000)
As (0.150, 0.650, 0.500)

***

Record 13
Below is an optimized crystal structure of GaGeI, with properties calculated at the PBE level.

uncorrected formation energy	-14	meV per atom
uncorrected energy	-3.079	eV/atom
total magnetization	0.0	μB per formula unit
excess energy over the best structure of this formula in the dataset	232	meV per atom

a b c (Å): 4.943 4.173 10.178
angles (deg): 90.00 103.64 90.00
Positions (direct):
Ga (0.807, 0.000, 0.414)
Ga (0.373, 0.000, 0.838)
Ge (0.296, 0.000, 0.564)
Ge (0.561, 0.500, 0.506)
I (0.577, 0.000, 0.154)
I (0.891, 0.500, 0.784)

***

Record 14
Below is an optimized crystal structure of NaPmSb, with properties calculated at the PBE level.

uncorrected formation energy	-441	meV per atom
uncorrected energy	-3.839	eV/atom
total magnetization	0.8	μB per formula unit
excess energy over the best structure of this formula in the dataset	106	meV per atom

a b c (Å): 4.140 4.884 4.884
angles (deg): 120.00 90.00 90.00
Each line ends with the local moment (μB).
Positions (direct):
Sb (0.800, 0.333, 0.667)  -0.02
Na (0.862, 0.000, 0.000)  0.02
Pm (0.338, 0.667, 0.333)  0.29

***

Record 15
Below is an optimized crystal structure of Pr7Er2Tm, with properties calculated at the PBE level.

uncorrected energy	-4.077	eV/atom
total magnetization	0.0	μB per formula unit
formation energy	628	meV per atom

a b c (Å): 5.674 9.430 9.430
angles (deg): 123.60 90.00 90.00
Positions (direct):
Pr (0.000, 0.781, 0.219)
Pr (0.000, 0.219, 0.781)
Pr (0.500, 0.067, 0.292)
Pr (0.500, 0.933, 0.708)
Pr (0.500, 0.292, 0.067)
Pr (0.500, 0.708, 0.933)
Pr (0.500, 0.500, 0.500)
Er (0.500, 0.705, 0.295)
Er (0.500, 0.295, 0.705)
Tm (0.000, 0.000, 0.000)

***

Record 16
Below is an optimized crystal structure of Hf2SiOs, with properties calculated at the PBE level.

uncorrected formation energy	151	meV per atom
uncorrected energy	-8.989	eV/atom
total magnetization	0.0	μB per formula unit

a b c (Å): 7.223 7.223 5.888
angles (deg): 52.17 52.17 90.00
Positions (direct):
Hf (0.637, 0.125, 0.250)
Hf (0.113, 0.625, 0.250)
Hf (0.375, 0.363, 0.750)
Hf (0.875, 0.887, 0.750)
Si (0.500, 0.500, 0.000)
Si (0.250, 0.750, 0.500)
Os (0.000, 0.000, 0.000)
Os (0.750, 0.250, 0.500)

***

Record 17
Below is an optimized crystal structure of ScTc2Os, with properties calculated at the PBE level.

uncorrected energy	-9.429	eV/atom
total magnetization	0.0	μB per formula unit
excess energy over the best structure of this formula in the dataset	202	meV per atom
formation energy	144	meV per atom

a b c (Å): 4.238 3.850 3.850
angles (deg): 90.00 90.00 90.00
Positions (direct):
Os (0.500, 0.500, 0.000)
Sc (0.500, 0.000, 0.500)
Tc (0.000, 0.000, 0.000)
Tc (0.000, 0.500, 0.500)

***

Record 18
Below is an optimized crystal structure of NaTiO2, with properties calculated at the PBE level.

uncorrected formation energy	-2291	meV per atom
uncorrected energy	-7.074	eV/atom
total magnetization	0.9	μB per formula unit

a b c (Å): 4.993 4.993 5.944
angles (deg): 65.17 65.17 90.00
Each line ends with the local moment (μB).
Positions (direct):
Na (0.500, 0.500, 0.000)  0.01
Na (0.250, 0.750, 0.500)  0.01
O (0.708, 0.125, 0.250)  -0.03
O (0.042, 0.625, 0.250)  -0.03
O (0.375, 0.292, 0.750)  -0.04
O (0.875, 0.958, 0.750)  -0.03
Ti (0.000, 0.000, 0.000)  0.79
Ti (0.750, 0.250, 0.500)  0.81

***

Record 19
Below is an optimized crystal structure of Mg8TlGa2, with properties calculated at the PBE level.

uncorrected energy	-1.982	eV/atom
total magnetization	0.0	μB per formula unit
excess energy over the best structure of this formula in the dataset	0	meV per atom
formation energy	-56	meV per atom

a b c (Å): 4.683 7.415 8.191
angles (deg): 116.91 106.61 90.00
Positions (direct):
Mg (0.661, 0.879, 0.322)
Mg (0.339, 0.557, 0.678)
Mg (0.156, 0.156, 0.312)
Mg (0.000, 0.301, 0.000)
Mg (0.844, 0.844, 0.688)
Mg (0.661, 0.443, 0.322)
Mg (0.339, 0.121, 0.678)
Mg (0.000, 0.699, 0.000)
Tl (0.500, 0.000, 0.000)
Ga (0.184, 0.684, 0.369)
Ga (0.816, 0.316, 0.631)

***

Record 20
Below is an optimized crystal structure of Ce2DyTm3Bi6, with properties calculated at the PBE level.

uncorrected energy	-5.228	eV/atom
total magnetization	1.6	μB per formula unit
formation energy	-797	meV per atom

a b c (Å): 4.507 8.986 10.046
angles (deg): 102.78 102.96 90.00
Each line ends with the local moment (μB).
Positions (direct):
Ce (0.834, 0.668, 0.669)  0.80
Ce (0.166, 0.332, 0.331)  0.80
Dy (0.500, 0.000, 0.000)  0.00
Tm (0.500, 0.500, 0.000)  -0.01
Tm (0.833, 0.166, 0.665)  -0.01
Tm (0.167, 0.834, 0.335)  -0.01
Bi (0.333, 0.924, 0.666)  -0.02
Bi (0.665, 0.589, 0.329)  -0.02
Bi (0.667, 0.076, 0.334)  -0.02
Bi (0.997, 0.251, 0.994)  -0.01
Bi (0.003, 0.749, 0.006)  -0.01
Bi (0.335, 0.411, 0.671)  -0.02